[1]
This record from Alexandria describes a relaxed Co2ReSI crystal. The functional is GGA-PBE.

Calculated values
Crystal system = tetragonal
Uncorrected formation energy = 200.7 kJ per mole of atoms
Mass density = 7.1 g/cm3
Space group = P4/mmm, No. 123
Magnetic moment = 5.53 μB per cell
DOS at the Fermi energy = 1.7974 states/eV/atom

a b c (Å): 4.5922 5.1279 4.5922
angles (deg): 90.00 90.00 90.00
Site moments in Bohr magnetons follow the coordinates.
Fractional positions:
I 0.0000 0.0000 0.0000  -0.01
Re 0.0000 0.5000 0.0000  2.10
S 0.5000 0.5000 0.5000  0.14
Co 0.0000 0.0000 0.5000  1.41
Co 0.5000 0.0000 0.0000  1.53

[2]
This record from Alexandria describes a relaxed RbPSe3 crystal. The functional is GGA-PBE.

Calculated values
Crystal system = cubic
Uncorrected formation energy = -12.4 kJ per mole of atoms
Mass density = 4.5 g/cm3
Space group = Pm-3m, No. 221
Magnetic moment = 0.00 μB per cell
DOS at the Fermi energy = 0.9286 states/eV/atom

a b c (Å): 5.0651 5.0651 5.0651
angles (deg): 90.00 90.00 90.00
Fractional positions:
P 0.0000 0.0000 0.0000
Se 0.0000 0.5000 0.0000
Se 0.0000 0.0000 0.5000
Se 0.5000 0.0000 0.0000
Rb 0.5000 0.5000 0.5000

[3]
This record from Alexandria describes a relaxed Li15Au crystal. The functional is GGA-PBE.

Calculated values
Crystal system = hexagonal
Mass density = 1.7 g/cm3
Space group = P-6m2, No. 187
Magnetic moment = 0.00 μB per cell
E_form = -0.0825 eV per atom
DOS at the Fermi energy = 0.4489 states/eV/atom

a b c (Å): 5.9914 5.9914 9.5867
angles (deg): 90.00 90.00 120.00
Fractional positions:
Li 0.0000 0.0000 0.5000
Li 0.0052 0.5026 0.0000
Li 0.9932 0.4966 0.5000
Li 0.4974 0.9948 0.0000
Li 0.5034 0.0068 0.5000
Li 0.4974 0.5026 0.0000
Li 0.5034 0.4966 0.5000
Li 0.8389 0.1611 0.2341
Li 0.8389 0.1611 0.7659
Li 0.8389 0.6778 0.2341
Li 0.8389 0.6778 0.7659
Li 0.3222 0.1611 0.2341
Li 0.3222 0.1611 0.7659
Li 0.3333 0.6667 0.2596
Li 0.3333 0.6667 0.7404
Au 0.0000 0.0000 0.0000

[4]
This record from Alexandria describes a relaxed PmAlP2O8 crystal. The functional is GGA-PBE.

Calculated values
Crystal system = trigonal
Uncorrected formation energy = -265.3 kJ per mole of atoms
Mass density = 4.2 g/cm3
Space group = P-3, No. 147
Magnetic moment = 0.00 μB per cell
DOS at the Fermi energy = 0.0000 states/eV/atom

a b c (Å): 4.9875 4.9875 6.5923
angles (deg): 90.00 90.00 120.00
Fractional positions:
Pm 0.0000 0.0000 0.0000
Al 0.0000 0.0000 0.5000
P 0.6667 0.3333 0.2460
P 0.3333 0.6667 0.7540
O 0.3333 0.6667 0.9877
O 0.3310 0.2126 0.3174
O 0.7874 0.1184 0.3174
O 0.6667 0.3333 0.0123
O 0.2126 0.8816 0.6826
O 0.6690 0.7874 0.6826
O 0.1184 0.3310 0.6826
O 0.8816 0.6690 0.3174

[5]
This record from Alexandria describes a relaxed CeThN crystal. The functional is GGA-PBE.

Calculated values
Crystal system = cubic
Uncorrected formation energy = -26.6 kJ per mole of atoms
Mass density = 10.9 g/cm3
Space group = F-43m, No. 216
Magnetic moment = 0.80 μB per cell
Offset from the most stable computed form = 0.6273 eV/atom
DOS at the Fermi energy = 1.9549 states/eV/atom

a b c (Å): 4.3694 4.3694 4.3694
angles (deg): 60.00 60.00 60.00
Site moments in Bohr magnetons follow the coordinates.
Fractional positions:
Ce 0.0000 0.0000 0.0000  0.51
Th 0.5000 0.5000 0.5000  0.16
N 0.2500 0.2500 0.2500  -0.01

[6]
This record from Alexandria describes a relaxed Ho2UPaAs4 crystal. The functional is GGA-PBE.

Calculated values
Crystal system = monoclinic
Mass density = 9.4 g/cm3
Space group = P2/m, No. 10
Magnetic moment = 3.31 μB per cell
E_form = -1.2008 eV per atom
DOS at the Fermi energy = 1.2759 states/eV/atom

a b c (Å): 4.0840 7.0651 7.1418
angles (deg): 109.31 90.00 90.00
Site moments in Bohr magnetons follow the coordinates.
Fractional positions:
Ho 0.5000 0.0000 0.5000  0.01
Ho 0.0000 0.5000 0.5000  0.01
U 0.0000 0.0000 0.0000  2.33
Pa 0.5000 0.5000 0.0000  0.61
As 0.5000 0.2502 0.2501  -0.03
As 0.5000 0.7498 0.7499  -0.03
As 0.0000 0.2500 0.7496  -0.02
As 0.0000 0.7500 0.2504  -0.02

[7]
This record from Alexandria describes a relaxed Ac2CuPdPt6 crystal. The functional is GGA-PBE.

Calculated values
Crystal system = cubic
Mass density = 13.2 g/cm3
Space group = Fm-3m, No. 225
Magnetic moment = 0.00 μB per cell
E_form = -0.1710 eV per atom
DOS at the Fermi energy = 0.7076 states/eV/atom

a b c (Å): 6.8296 6.8296 6.8296
angles (deg): 60.00 60.00 90.00
Fractional positions:
Ac 0.2500 0.7500 0.5000
Ac 0.7500 0.2500 0.5000
Cu 0.0000 0.0000 0.0000
Pd 0.5000 0.5000 0.0000
Pt 0.2419 0.7581 0.0000
Pt 0.7581 0.7581 0.0000
Pt 0.2419 0.2419 0.5162
Pt 0.7581 0.2419 0.0000
Pt 0.2419 0.2419 0.0000
Pt 0.7581 0.7581 0.4838

[8]
This record from Alexandria describes a relaxed K3PdS crystal. The functional is GGA-PBE.

Calculated values
Crystal system = cubic
Uncorrected formation energy = -22.0 kJ per mole of atoms
Mass density = 2.0 g/cm3
Space group = Pm-3m, No. 221
Magnetic moment = 0.82 μB per cell
Offset from the most stable computed form = 0.0000 eV/atom
DOS at the Fermi energy = 0.6518 states/eV/atom

a b c (Å): 6.0006 6.0006 6.0006
angles (deg): 90.00 90.00 90.00
Site moments in Bohr magnetons follow the coordinates.
Fractional positions:
K 0.0000 0.5000 0.0000  0.01
K 0.0000 0.0000 0.5000  0.00
K 0.5000 0.0000 0.0000  0.01
S 0.0000 0.0000 0.0000  0.06
Pd 0.5000 0.5000 0.5000  0.16

[9]
This record from Alexandria describes a relaxed CsSe2I2 crystal. The functional is GGA-PBE.

Calculated values
Crystal system = tetragonal
Uncorrected formation energy = -29.2 kJ per mole of atoms
Mass density = 4.3 g/cm3
Space group = I4/mmm, No. 139
Magnetic moment = 0.00 μB per cell
Offset from the most stable computed form = 0.1274 eV/atom
DOS at the Fermi energy = 0.8955 states/eV/atom

a b c (Å): 3.8051 3.8051 14.6122
angles (deg): 82.52 82.52 90.00
Fractional positions:
Cs 0.0000 0.0000 0.0000
I 0.4057 0.4057 0.1886
I 0.5943 0.5943 0.8114
Se 0.7500 0.2500 0.5000
Se 0.2500 0.7500 0.5000

[10]
This record from Alexandria describes a relaxed PrSc4Se6 crystal. The functional is GGA-PBE.

Calculated values
Crystal system = orthorhombic
Uncorrected formation energy = -165.7 kJ per mole of atoms
Mass density = 5.3 g/cm3
Space group = Cmcm, No. 63
Magnetic moment = 0.00 μB per cell
DOS at the Fermi energy = 0.4117 states/eV/atom

a b c (Å): 3.9127 6.6756 20.0350
angles (deg): 90.00 90.00 107.04
Fractional positions:
Pr 0.6536 0.3072 0.2500
Pr 0.3464 0.6928 0.7500
Sc 0.8575 0.7151 0.5369
Sc 0.4065 0.8131 0.1231
Sc 0.1425 0.2849 0.4631
Sc 0.5935 0.1869 0.8769
Sc 0.8575 0.7151 0.9631
Sc 0.1425 0.2849 0.0369
Sc 0.5935 0.1869 0.6231
Sc 0.4065 0.8131 0.3769
Se 0.5000 0.0000 0.0000
Se 0.5000 0.0000 0.5000
Se 0.0447 0.0894 0.3411
Se 0.9553 0.9106 0.6589
Se 0.9553 0.9106 0.8411
Se 0.0447 0.0894 0.1589
Se 0.7670 0.5339 0.4112
Se 0.2330 0.4661 0.5888
Se 0.2330 0.4661 0.9112
Se 0.7670 0.5339 0.0888
Se 0.3274 0.6547 0.2500
Se 0.6726 0.3453 0.7500

[11]
This record from Alexandria describes a relaxed PuBeBi crystal. The functional is GGA-PBE.

Calculated values
Crystal system = monoclinic
Mass density = 10.8 g/cm3
Space group = C2/m, No. 12
Magnetic moment = 10.49 μB per cell
E_form = 0.0861 eV per atom
DOS at the Fermi energy = 2.5838 states/eV/atom

a b c (Å): 4.2826 4.5971 7.8725
angles (deg): 107.05 105.78 90.00
Site moments in Bohr magnetons follow the coordinates.
Fractional positions:
Be 0.7785 0.0270 0.5570  -0.05
Be 0.2215 0.9730 0.4430  -0.05
Pu 0.5809 0.8311 0.1619  5.29
Pu 0.4191 0.1689 0.8381  5.29
Bi 0.8842 0.6338 0.7684  -0.16
Bi 0.1158 0.3662 0.2316  -0.16